The following is a DFT calculation (PBE) of a relaxed structure of LaIn2Fe.

Values from the calculation:
Its formation energy is 79.6 meV per atom.

```
data_LaIn2Fe
_symmetry_space_group_name_H-M 'F -4 3 m'
_symmetry_Int_Tables_number 216
_symmetry_space_group_name_Hall 'F -4 2 3'
_cell_length_a 7.238
_cell_length_b 7.238
_cell_length_c 7.238
_cell_angle_alpha 90.00
_cell_angle_beta 90.00
_cell_angle_gamma 90.00
loop_
_atom_site_label
_atom_site_fract_x
_atom_site_fract_y
_atom_site_fract_z
_atom_site_occupancy
La1 0.000 0.000 0.000 1
In1 0.000 0.000 0.500 1
In2 0.250 0.250 0.250 1
Fe1 0.250 0.250 0.750 1
```

=====

The following is a DFT calculation (PBE) of a relaxed structure of Ca2LaSe.

Values from the calculation:
The uncorrected formation energy is -0.8749 eV per atom.

```
data_Ca2LaSe
_symmetry_space_group_name_H-M 'R 3 m'
_symmetry_Int_Tables_number 160
_symmetry_space_group_name_Hall 'R 3 -2"'
_cell_length_a 4.0295
_cell_length_b 4.0295
_cell_length_c 30.6425
_cell_angle_alpha 90.00
_cell_angle_beta 90.00
_cell_angle_gamma 120.00
loop_
_atom_site_label
_atom_site_fract_x
_atom_site_fract_y
_atom_site_fract_z
_atom_site_occupancy
Ca1 0.0000 0.0000 0.0000 1
Ca2 0.0000 0.0000 0.2252 1
La1 0.0000 0.0000 0.7704 1
Se1 0.0000 0.0000 0.5010 1
```

=====

The following is a DFT calculation (PBE) of a relaxed structure of PtCS2.

Values from the calculation:
The uncorrected formation energy is 0.5206 eV per atom.

```
data_PtCS2
_symmetry_space_group_name_H-M 'R -3 m'
_symmetry_Int_Tables_number 166
_symmetry_space_group_name_Hall '-R 3 2"'
_cell_length_a 3.8290
_cell_length_b 3.8290
_cell_length_c 16.7633
_cell_angle_alpha 90.00
_cell_angle_beta 90.00
_cell_angle_gamma 120.00
loop_
_atom_site_label
_atom_site_fract_x
_atom_site_fract_y
_atom_site_fract_z
_atom_site_occupancy
Pt1 0.0000 0.0000 0.0000 1
C1 0.0000 0.0000 0.5000 1
S1 0.0000 0.0000 0.4054 1
```

=====

The following is a DFT calculation (PBE) of a relaxed structure of LiZrB2Rh.

Values from the calculation:
Its formation energy is 1342.3 meV per atom.

```
data_LiZrB2Rh
_symmetry_space_group_name_H-M 'P 4/m m m'
_symmetry_Int_Tables_number 123
_symmetry_space_group_name_Hall '-P 4 2'
_cell_length_a 4.528
_cell_length_b 4.528
_cell_length_c 4.882
_cell_angle_alpha 90.00
_cell_angle_beta 90.00
_cell_angle_gamma 90.00
loop_
_atom_site_label
_atom_site_fract_x
_atom_site_fract_y
_atom_site_fract_z
_atom_site_occupancy
Li1 0.000 0.000 0.000 1
Zr1 0.500 0.500 0.500 1
B1 0.000 0.500 0.500 1
Rh1 0.500 0.500 0.000 1
```

=====

The following is a DFT calculation (PBE) of a relaxed structure of La3PrSm6Dy2.

Values from the calculation:
Its formation energy is 18.5 meV per atom.

```
data_La3PrSm6Dy2
_symmetry_space_group_name_H-M 'C 1 2/m 1'
_symmetry_Int_Tables_number 12
_cell_length_a 6.323
_cell_length_b 10.958
_cell_length_c 12.122
_cell_angle_alpha 90.00
_cell_angle_beta 100.07
_cell_angle_gamma 90.00
loop_
_symmetry_equiv_pos_as_xyz
'x,y,z'
'-x,-y,-z'
'-x,y,-z'
'x,-y,z'
'x+1/2,y+1/2,z'
'-x+1/2,-y+1/2,-z'
'-x+1/2,y+1/2,-z'
'x+1/2,-y+1/2,z'
loop_
_atom_site_label
_atom_site_fract_x
_atom_site_fract_y
_atom_site_fract_z
_atom_site_occupancy
La1 0.000 0.000 0.000 1
La2 0.000 0.333 0.000 1
Pr1 0.000 0.500 0.500 1
Sm1 0.248 0.000 0.746 1
Sm2 0.249 0.333 0.746 1
Dy1 0.000 0.167 0.500 1
```

=====

The following is a DFT calculation (PBE) of a relaxed structure of MgFe2Sn2.

Values from the calculation:
The energy relative to the lowest polymorph listed for this composition comes out at 0.061 eV/atom. Its formation energy is 239.0 meV per atom.

```
data_MgFe2Sn2
_symmetry_space_group_name_H-M 'I 4/m m m'
_symmetry_Int_Tables_number 139
_symmetry_space_group_name_Hall '-I 4 2'
_cell_length_a 3.841
_cell_length_b 3.841
_cell_length_c 13.011
_cell_angle_alpha 90.00
_cell_angle_beta 90.00
_cell_angle_gamma 90.00
loop_
_atom_site_label
_atom_site_fract_x
_atom_site_fract_y
_atom_site_fract_z
_atom_site_occupancy
Mg1 0.000 0.000 0.000 1
Fe1 0.000 0.500 0.250 1
Sn1 0.000 0.000 0.388 1
```

=====

The following is a DFT calculation (PBE) of a relaxed structure of La2PrZn2.

Values from the calculation:
The energy relative to the lowest polymorph listed for this composition comes out at 0.069 eV/atom. Its formation energy is -161.3 meV per atom.

```
data_La2PrZn2
_symmetry_space_group_name_H-M 'C 1 2/c 1'
_symmetry_Int_Tables_number 15
_cell_length_a 13.327
_cell_length_b 6.430
_cell_length_c 6.975
_cell_angle_alpha 90.00
_cell_angle_beta 98.97
_cell_angle_gamma 90.00
loop_
_symmetry_equiv_pos_as_xyz
'x,y,z'
'-x,-y,-z'
'-x,y,-z+1/2'
'x,-y,z+1/2'
'x+1/2,y+1/2,z'
'-x+1/2,-y+1/2,-z'
'-x+1/2,y+1/2,-z+1/2'
'x+1/2,-y+1/2,z+1/2'
loop_
_atom_site_label
_atom_site_fract_x
_atom_site_fract_y
_atom_site_fract_z
_atom_site_occupancy
La1 0.141 0.112 0.121 1
Pr1 0.000 0.415 0.750 1
Zn1 0.176 0.374 0.526 1
```

=====

The following is a DFT calculation (PBE) of a relaxed structure of CdHPdPb2.

Values from the calculation:
The calculation puts the total energy at -3.35 eV per atom.

```
data_CdHPdPb2
_symmetry_space_group_name_H-M 'P 4/m m m'
_symmetry_Int_Tables_number 123
_symmetry_space_group_name_Hall '-P 4 2'
_cell_length_a 5.722
_cell_length_b 5.722
_cell_length_c 3.358
_cell_angle_alpha 90.00
_cell_angle_beta 90.00
_cell_angle_gamma 90.00
loop_
_atom_site_label
_atom_site_fract_x
_atom_site_fract_y
_atom_site_fract_z
_atom_site_occupancy
Cd1 0.000 0.000 0.000 1
H1 0.500 0.500 0.000 1
Pd1 0.500 0.500 0.500 1
Pb1 0.000 0.500 0.500 1
```

=====

The following is a DFT calculation (PBE) of a relaxed structure of La4Dy2Er3.

Values from the calculation:
Its formation energy is 124.7 meV per atom.

```
data_La4Dy2Er3
_symmetry_space_group_name_H-M 'C 1 2/m 1'
_symmetry_Int_Tables_number 12
_cell_length_a 14.440
_cell_length_b 11.681
_cell_length_c 3.669
_cell_angle_alpha 90.00
_cell_angle_beta 90.54
_cell_angle_gamma 90.00
loop_
_symmetry_equiv_pos_as_xyz
'x,y,z'
'-x,-y,-z'
'-x,y,-z'
'x,-y,z'
'x+1/2,y+1/2,z'
'-x+1/2,-y+1/2,-z'
'-x+1/2,y+1/2,-z'
'x+1/2,-y+1/2,z'
loop_
_atom_site_label
_atom_site_fract_x
_atom_site_fract_y
_atom_site_fract_z
_atom_site_occupancy
La1 0.130 0.246 0.272 1
Dy1 0.212 0.000 0.717 1
Er1 0.000 0.000 0.000 1
Er2 0.093 0.500 0.762 1
```